[1]
Crystalline RbNa12Hg6 at its relaxed geometry, computed with GGA-PBE.

```
data_RbNa12Hg6
_chemical_formula_sum 'Rb1 Na12 Hg6'
_symmetry_space_group_name_H-M 'P 1'
_symmetry_Int_Tables_number 1
_cell_length_a 8.413
_cell_length_b 8.413
_cell_length_c 8.413
_cell_angle_alpha 89.31
_cell_angle_beta 89.31
_cell_angle_gamma 89.31
loop_
_symmetry_equiv_pos_as_xyz
'x,y,z'
loop_
_atom_site_label
_atom_site_fract_x
_atom_site_fract_y
_atom_site_fract_z
Na1 0.603 0.834 0.982
Rb1 0.000 0.000 0.000
Na2 0.417 0.527 0.806
Hg1 0.272 0.698 0.122
Na3 0.806 0.417 0.527
Hg2 0.698 0.122 0.272
Na4 0.527 0.806 0.417
Na5 0.397 0.166 0.018
Na6 0.982 0.603 0.834
Hg3 0.728 0.302 0.878
Na7 0.194 0.583 0.473
Hg4 0.122 0.272 0.698
Na8 0.018 0.397 0.166
Na9 0.166 0.018 0.397
Na10 0.834 0.982 0.603
Na11 0.473 0.194 0.583
Hg5 0.302 0.878 0.728
Na12 0.583 0.473 0.194
Hg6 0.878 0.728 0.302
```

VASP energy = -1.106 eV per atom
Formation energy from the elements = -0.1268 eV/atom
Energy above the lowest structure with this stoichiometry = 14 meV/atom
SG = R-3
Volume = 595.34 Å³/cell


[2]
Crystalline AcPm5Y2 at its relaxed geometry, computed with GGA-PBE.

```
data_AcPm5Y2
_chemical_formula_sum 'Ac2 Pm10 Y4'
_symmetry_space_group_name_H-M 'P 1'
_symmetry_Int_Tables_number 1
_cell_length_a 5.171
_cell_length_b 7.354
_cell_length_c 14.710
_cell_angle_alpha 90.00
_cell_angle_beta 90.00
_cell_angle_gamma 90.00
loop_
_symmetry_equiv_pos_as_xyz
'x,y,z'
loop_
_atom_site_label
_atom_site_fract_x
_atom_site_fract_y
_atom_site_fract_z
Pm1 0.500 0.746 0.627
Y1 0.500 0.251 0.627
Pm2 0.000 0.499 0.747
Y2 0.500 0.749 0.373
Pm3 0.500 0.246 0.873
Pm4 0.500 0.754 0.127
Pm5 0.000 0.999 0.753
Ac1 0.000 0.500 0.000
Pm6 0.000 0.001 0.247
Pm7 0.000 0.500 0.500
Pm8 0.000 0.501 0.253
Pm9 0.500 0.254 0.373
Ac2 0.000 0.000 0.500
Pm10 0.000 0.000 0.000
Y3 0.500 0.751 0.873
Y4 0.500 0.249 0.127
```

VASP energy = -5.075 eV per atom
Formation energy from the elements = 0.0239 eV/atom
Energy above the lowest structure with this stoichiometry = 0 meV/atom
SG = Pbam
Volume = 559.41 Å³/cell


[3]
Crystalline BaSi2Ag at its relaxed geometry, computed with GGA-PBE.

```
data_BaSi2Ag
_chemical_formula_sum 'Ba1 Si2 Ag1'
_symmetry_space_group_name_H-M 'P 1'
_symmetry_Int_Tables_number 1
_cell_length_a 3.497
_cell_length_b 3.498
_cell_length_c 7.464
_cell_angle_alpha 90.00
_cell_angle_beta 90.00
_cell_angle_gamma 90.00
loop_
_symmetry_equiv_pos_as_xyz
'x,y,z'
loop_
_atom_site_label
_atom_site_fract_x
_atom_site_fract_y
_atom_site_fract_z
Si1 0.000 0.000 0.084
Ba1 0.500 0.500 0.764
Si2 0.500 0.500 0.222
Ag1 0.000 0.000 0.430
```

VASP energy = -3.766 eV per atom
SG = P4mm
Volume = 91.31 Å³/cell


> What is the VASP energy in the third record?

-3.766 eV per atom